# RbInHg2I4

A geometry-optimized RbInHg2I4 structure (PBE-GGA, Alexandria via LeMat-Bulk).

Values from the calculation:
VASP energy, eV/cell: -15.42
Calculated volume, Å³ per atom: 49.46

Lattice parameters (Å, degrees): 7.5502 7.6336 7.7301 87.19 74.76 67.23
Space group P1 (No. 1)
Unique sites:
Rb: 0.0000 0.0000 0.0000
In: 0.5354 0.7102 0.2487
Hg: 0.1729 0.4174 0.7718
Hg: 0.6759 0.3264 0.7003
I: 0.1896 0.9749 0.4681
I: 0.5002 0.3636 0.2452
I: 0.5612 0.8542 0.9090
I: 0.8759 0.6694 0.3398


# FeNi2Pb

A geometry-optimized FeNi2Pb structure (PBE-GGA, Alexandria via LeMat-Bulk).

Values from the calculation:
VASP energy, eV/cell: -65.96
ΔE_f, eV/atom: 0.44
Calculated volume, Å³ per atom: 15.94

Lattice parameters (Å, degrees): 3.1139 3.1139 22.7814 90.00 90.00 120.00
Space group R-3m (No. 166, hexagonal axes)
Unique sites:
Fe: 0.0000 0.0000 0.0000
Ni: 0.0000 0.0000 0.2626
Pb: 0.0000 0.0000 0.5000


# AgSb4

A geometry-optimized AgSb4 structure (PBE-GGA, Alexandria via LeMat-Bulk).

Values from the calculation:
VASP energy, eV/cell: -37.14
Calculated volume, Å³ per atom: 27.23

Lattice parameters (Å, degrees): 8.0686 8.0686 4.1823 90.00 90.00 90.00
Space group I4/mmm (No. 139)
Unique sites:
Ag: 0.0000 0.0000 0.0000
Sb: 0.0000 0.2661 0.5000


# AlAgP2O8

A geometry-optimized AlAgP2O8 structure (PBE-GGA, Alexandria via LeMat-Bulk).

Values from the calculation:
VASP energy, eV/cell: -78.79
Calculated volume, Å³ per atom: 12.36

Lattice parameters (Å, degrees): 5.1259 5.1259 6.5160 90.00 90.00 120.00
Space group P-3 (No. 147)
Unique sites:
Al: 0.0000 0.0000 0.0000
Ag: 0.0000 0.0000 0.5000
P: 0.3333 0.6667 0.2478
O: 0.1655 0.3376 0.1737
O: 0.3333 0.6667 0.4845


# In2Rh2W

A geometry-optimized In2Rh2W structure (PBE-GGA, Alexandria via LeMat-Bulk).

Values from the calculation:
VASP energy, eV/cell: -58.57
ΔE_f, eV/atom: 0.77
Calculated volume, Å³ per atom: 18.69

Lattice parameters (Å, degrees): 3.7455 3.7455 13.3254 90.00 90.00 90.00
Space group I4/mmm (No. 139)
Unique sites:
In: 0.0000 0.0000 0.1042
Rh: 0.0000 0.5000 0.2500
W: 0.0000 0.0000 0.5000


# AcTbTlIn

A geometry-optimized AcTbTlIn structure (PBE-GGA, Alexandria via LeMat-Bulk).

Values from the calculation:
VASP energy, eV/cell: -61.27
ΔE_f, eV/atom: -0.37
Calculated volume, Å³ per atom: 31.26

Lattice parameters (Å, degrees): 7.9382 7.9382 7.9382 90.00 90.00 90.00
Space group F-43m (No. 216)
Unique sites:
Ac: 0.0000 0.0000 0.0000
Tb: 0.0000 0.0000 0.5000
Tl: 0.2500 0.2500 0.7500
In: 0.2500 0.2500 0.2500


# ZnAgRu2

A geometry-optimized ZnAgRu2 structure (PBE-GGA, Alexandria via LeMat-Bulk).

Values from the calculation:
VASP energy, eV/cell: -22.05
ΔE_f, eV/atom: 0.16
Calculated volume, Å³ per atom: 15.03

Lattice parameters (Å, degrees): 2.7912 3.7334 5.7688 90.00 90.00 90.00
Space group Pmm2 (No. 25)
Unique sites:
Zn: 0.0000 0.0000 0.0000
Ag: 0.5000 0.5000 0.2393
Ru: 0.0000 0.0000 0.5419
Ru: 0.5000 0.5000 0.7328


# TmLu2Mg

A geometry-optimized TmLu2Mg structure (PBE-GGA, Alexandria via LeMat-Bulk).

Values from the calculation:
VASP energy, eV/cell: -14.94
ΔE_f, eV/atom: 0.04
Calculated volume, Å³ per atom: 28.15

Lattice parameters (Å, degrees): 4.8226 4.8226 4.8417 90.00 90.00 90.00
Space group P4/mmm (No. 123)
Unique sites:
Tm: 0.0000 0.0000 0.0000
Lu: 0.0000 0.5000 0.5000
Mg: 0.5000 0.5000 0.0000